1.
Below is ErCoPb after structural relaxation, with properties calculated at the PBE level.

Summary:
VASP energy: -5.260 eV per atom
SG: F-43m (216)

a = 4.5711 Å, b = 4.5711 Å, c = 4.5711 Å
α = 60.00°, β = 60.00°, γ = 60.00°
Last column: nearest neighbours and their distance in Å.
Positions (direct):
1 Er 0.0000 0.0000 0.0000  4 Co 2.80
2 Co 0.2500 0.2500 0.2500  4 Pb 2.80, 4 Er 2.80
3 Pb 0.5000 0.5000 0.5000  4 Co 2.80

---

2.
Below is TbErCo2Pb after structural relaxation, with properties calculated at the PBE level.

Summary:
VASP energy: -5.765 eV per atom
SG: Amm2 (38)

a = 3.8351 Å, b = 7.2886 Å, c = 7.2886 Å
α = 30.49°, β = 90.00°, γ = 90.00°
Last column: nearest neighbours and their distance in Å.
Positions (direct):
1 Tb 0.0000 0.0000 0.0000  6 Co 2.87-2.90
2 Er 0.0000 0.7184 0.7184  6 Co 2.86-2.87
3 Co 0.5000 0.1547 0.1547  2 Co 2.28
4 Co 0.5000 0.5669 0.5669  2 Co 2.28
5 Pb 0.5000 0.3584 0.3584  2 Co 2.86-2.93

---

> VASP energy of number 1 (ErCoPb)?

-5.260 eV per atom